Density functional theory data (PBE) for SrZrCd2 after structural relaxation.

abc: 3.5426 3.5426 30.7304
angles: 90.00 90.00 120.00
Last column: nearest neighbours and their distance in Å.
Space group R3m (No. 160, hexagonal axes)
Symmetry-distinct sites (fractional):
Sr  0.0000  0.0000  0.0000 [3 per cell]  3 Cd 3.42, 6 Sr 3.54, 3 Zr 3.60
Zr  0.0000  0.0000  0.7633 [3 per cell]  3 Cd 3.08
Cd  0.0000  0.0000  0.2443 [3 per cell]  3 Cd 3.03
Cd  0.0000  0.0000  0.5048 [3 per cell]  3 Cd 3.03, 3 Zr 3.08

## Properties
Formation energy (meV/atom): 223
Calculated total energy (eV per formula unit): -11.17